A plane-wave DFT calculation with GGA-PBE was carried out for a geometry-optimized HfMo3H structure.

abc: 4.813 4.813 4.813
angles: 90.00 90.00 90.00
Space group Pm-3m (No. 221)
Inequivalent atoms, fractional coordinates:
Hf 0.000 0.000 0.000 (multiplicity 1)
Mo 0.000 0.000 0.500 (multiplicity 3)
H 0.500 0.500 0.500 (multiplicity 1)

The polymorph energy (0 for the lowest one) comes out at 2.517 eV per atom. Its final energy is -32.1 eV per cell.